No. 1
Compound: MgFeRuO2
Source: Alexandria via LeMat-Bulk
Functional: PBE+U
Structure: relaxed

Computed properties:
Its spin magnetization is 0.126 μB per atom. The value obtained for the total energy is -4.86 eV/atom.

Cell lengths 3.838, 3.838, 5.076 Å; angles 90.00, 90.00, 90.00 degrees
Space group P4/mmm (No. 123)
Unique sites:
Mg1 0.000 0.000 0.000 x1
Fe1 0.500 0.500 0.500 x1
Ru1 0.000 0.000 0.500 x1
O1 0.000 0.500 0.000 x2



No. 2
Compound: Mg5Fe6S6O10
Source: Alexandria via LeMat-Bulk
Functional: PBE+U
Structure: relaxed

Computed properties:
Its spin magnetization is 1.255 μB per atom. The value obtained for the total energy is -5.00 eV/atom.

Cell lengths 5.646, 8.867, 10.570 Å; angles 91.94, 91.57, 102.67 degrees
Space group P1 (No. 1)
Unique sites:
Mg1 0.000 0.000 0.000 x1
Mg2 0.198 0.400 0.012 x1
Mg3 0.399 0.800 0.005 x1
Mg4 0.599 0.200 0.005 x1
Mg5 0.798 0.601 0.012 x1
Fe1 0.061 0.466 0.527 x1
Fe2 0.226 0.798 0.493 x1
Fe3 0.395 0.133 0.527 x1
Fe4 0.559 0.465 0.493 x1
Fe5 0.728 0.800 0.527 x1
Fe6 0.892 0.132 0.494 x1
S1 0.062 0.977 0.638 x1
S2 0.211 0.298 0.383 x1
S3 0.395 0.643 0.637 x1
S4 0.544 0.964 0.383 x1
S5 0.728 0.310 0.637 x1
S6 0.877 0.631 0.383 x1
O1 0.046 0.787 0.080 x1
O2 0.151 0.615 0.935 x1
O3 0.244 0.181 0.079 x1
O4 0.356 0.016 0.927 x1
O5 0.443 0.586 0.085 x1
O6 0.553 0.418 0.936 x1
O7 0.647 0.984 0.077 x1
O8 0.753 0.813 0.930 x1
O9 0.842 0.383 0.084 x1
O10 0.955 0.219 0.931 x1